Crystalline RhBr at its relaxed geometry, computed with GGA-PBE.

a = 11.219 Å, b = 11.219 Å, c = 3.569 Å
α = 90.00°, β = 90.00°, γ = 90.00°
Atoms (fractional coordinates):
Rh 0.034 0.612 0.000
Rh 0.119 0.463 0.500
Rh 0.388 0.034 0.000
Rh 0.463 0.881 0.500
Rh 0.537 0.119 0.500
Rh 0.612 0.966 0.000
Rh 0.881 0.537 0.500
Rh 0.966 0.388 0.000
Br 0.078 0.762 0.500
Br 0.238 0.078 0.500
Br 0.267 0.419 0.000
Br 0.419 0.733 0.000
Br 0.581 0.267 0.000
Br 0.733 0.581 0.000
Br 0.762 0.922 0.500
Br 0.922 0.238 0.500

**Raw formation energy**: 0.08 eV/f.u.
**Total moment**: 0.3 μB per formula unit
**Space group**: P4/m
**Fermi-level density of states**: 1.273 states/eV/atom

---

Crystalline RhBr5 at its relaxed geometry, computed with GGA-PBE.

a = 6.857 Å, b = 6.857 Å, c = 9.498 Å
α = 116.03°, β = 116.03°, γ = 31.22°
Atoms (fractional coordinates):
Rh 0.000 0.000 0.000
Br 0.035 0.035 0.501
Br 0.368 0.368 0.499
Br 0.378 0.378 0.003
Br 0.622 0.622 0.997
Br 0.702 0.702 0.501

**Raw formation energy**: 0.60 eV/f.u.
**Total moment**: 1.1 μB per formula unit
**Space group**: Cm
**Fermi-level density of states**: 1.109 states/eV/atom

---

Crystalline RhBr at its relaxed geometry, computed with GGA-PBE.

a = 7.070 Å, b = 7.070 Å, c = 7.070 Å
α = 90.00°, β = 90.00°, γ = 90.00°
Atoms (fractional coordinates):
Rh 0.000 0.250 0.500
Rh 0.000 0.750 0.500
Rh 0.250 0.500 0.000
Rh 0.500 0.000 0.250
Rh 0.500 0.000 0.750
Rh 0.750 0.500 0.000
Br 0.000 0.500 0.250
Br 0.000 0.500 0.750
Br 0.250 0.000 0.500
Br 0.500 0.250 0.000
Br 0.500 0.750 0.000
Br 0.750 0.000 0.500

**Raw formation energy**: 1.22 eV/f.u.
**Total moment**: 0.0 μB per formula unit
**Space group**: Pm-3n
**Fermi-level density of states**: 1.374 states/eV/atom

---

Crystalline RhBr at its relaxed geometry, computed with GGA-PBE.

a = 3.543 Å, b = 3.543 Å, c = 7.828 Å
α = 90.00°, β = 90.00°, γ = 120.00°
Atoms (fractional coordinates):
Rh 0.333 0.667 0.000
Rh 0.667 0.333 0.500
Br 0.333 0.667 0.689
Br 0.667 0.333 0.189

**Raw formation energy**: 0.94 eV/f.u.
**Total moment**: 0.0 μB per formula unit
**Space group**: P6_3mc
**Fermi-level density of states**: 0.599 states/eV/atom